12
Lattice="4.190 0.002 -0.874 -0.003 6.014 -0.001 -0.781 0.000 6.726" Properties=species:S:1:pos:R:3 comment="V6Os5Ru GGA-PBE optimized geometry" crystal_system=orthorhombic ef_mev_per_atom=-236 n_ef_per_ev_fu=15.32 pbc="T T T"
Os 0.879 3.008 4.207
Os 2.525 0.001 1.628
Os 0.881 6.015 4.224
Os -0.001 3.007 0.000
Os 2.527 3.008 1.645
V 0.440 1.503 2.117
V 0.438 4.512 2.117
V 2.966 4.513 3.734
V 2.968 1.504 3.735
V 2.094 1.511 -0.437
V 1.312 4.505 6.289
Ru 0.000 0.000 0.000

10
Lattice="6.295 0.000 -0.005 0.000 2.833 0.000 -1.051 0.000 8.268" Properties=species:S:1:pos:R:3 comment="SiP2RuN GGA-PBE optimized geometry" de_polymorph_ev_per_atom=0.123 crystal_system=monoclinic formation_energy_uncorrected_ev_per_atom=-0.20 n_ef_per_ev_fu=1.76 pbc="T T T"
Si 5.532 1.416 5.082
Si 6.057 0.000 0.948
Ru 2.025 0.000 0.757
Ru 1.500 1.416 4.891
N 5.340 1.416 1.723
N 4.814 0.000 5.857
P 1.595 0.000 6.704
P 4.339 1.416 3.076
P 2.120 1.416 2.570
P 3.813 0.000 7.210

4
Lattice="-2.165 1.190 -1.158 1.146 -0.306 -2.457 -3.756 -7.617 -0.805" Properties=species:S:1:pos:R:3 comment="MgSiW2 GGA-PBE optimized geometry" crystal_system=tetragonal formation_energy_uncorrected_ev_per_atom=0.41 n_ef_per_ev_fu=2.69 pbc="T T T"
W -1.970 -3.994 -0.422
W -3.665 -7.432 -0.786
Si -3.326 -5.271 -2.411
Mg -1.448 -1.462 -2.009

12
Lattice="-1.291 -0.556 -3.023 -6.424 -0.955 2.918 -0.253 6.785 -1.140" Properties=species:S:1:pos:R:3 comment="SmPuBeN3 GGA-PBE optimized geometry" crystal_system=monoclinic formation_energy_uncorrected_ev_per_atom=-1.18 n_ef_per_ev_fu=7.20 pbc="T T T"
N -3.692 0.167 -1.211
N -6.655 -0.221 0.126
N -2.117 2.861 -2.379
N -5.850 2.414 1.135
N -4.275 5.107 -0.033
N -1.312 5.496 -1.370
Sm -1.465 1.137 -0.502
Sm -6.501 4.138 -0.742
Be -7.005 1.446 -0.032
Be -0.962 3.829 -1.212
Pu -3.382 4.798 -2.195
Pu -4.585 0.477 0.951

6
Lattice="-2.596 3.602 -4.007 -3.835 -4.283 -1.366 -1.606 4.028 4.661" Properties=species:S:1:pos:R:3 comment="Pr5In GGA-PBE optimized geometry" de_polymorph_ev_per_atom=0.053 crystal_system=orthorhombic ef_mev_per_atom=-99 n_ef_per_ev_fu=6.72 pbc="T T T"
Pr -3.719 3.097 0.730
Pr -1.298 1.801 -2.003
Pr -1.105 0.591 1.247
Pr -4.336 -0.847 2.048
Pr -4.318 0.249 -1.441
In -1.917 -2.142 -0.683

4
Lattice="-2.885 2.666 -0.264 -0.803 -1.231 -3.653 -5.174 -5.310 2.926" Properties=species:S:1:pos:R:3 comment="ErTh2In GGA-PBE optimized geometry" de_polymorph_ev_per_atom=0.179 crystal_system=tetragonal ef_mev_per_atom=-7 n_ef_per_ev_fu=6.90 pbc="T T T"
Th -1.208 -1.240 0.683
Th -3.966 -4.070 2.243
In -1.844 0.718 -1.958
Er -4.431 -1.937 -0.495

8
Lattice="0.263 4.420 -3.535 -2.773 2.153 4.447 4.017 1.272 1.889" Properties=species:S:1:pos:R:3 comment="Zr3Pt5 GGA-PBE optimized geometry" crystal_system=orthorhombic ef_mev_per_atom=-949 n_ef_per_ev_fu=4.91 pbc="T T T"
Pt 0.239 5.270 1.588
Pt 0.132 2.210 -1.767
Pt -1.387 1.077 2.223
Pt 0.000 0.000 0.000
Pt 1.268 2.576 1.214
Zr -0.134 3.260 3.732
Zr -1.255 3.287 0.456
Zr 1.640 4.585 -0.931

5
Lattice="-2.361 -3.999 -2.562 4.657 -1.389 -2.124 0.887 -3.046 3.937" Properties=species:S:1:pos:R:3 comment="YBiS2Cl GGA-PBE optimized geometry" de_polymorph_ev_per_atom=0.000 crystal_system=tetragonal formation_energy_uncorrected_ev_per_atom=-0.82 n_ef_per_ev_fu=2.64 pbc="T T T"
Y 0.000 0.000 0.000
S -1.181 -1.999 -1.281
S 2.329 -0.695 -1.062
Cl 0.443 -1.523 1.969
Bi 1.591 -4.217 -0.374

5
Lattice="5.413 0.000 0.000 0.000 5.839 0.000 0.000 0.000 5.413" Properties=species:S:1:pos:R:3 comment="CaGeBi2F GGA-PBE optimized geometry" de_polymorph_ev_per_atom=0.379 crystal_system=tetragonal formation_energy_uncorrected_ev_per_atom=-0.21 n_ef_per_ev_fu=3.42 pbc="T T T"
F 2.706 2.920 2.706
Ca 0.000 2.920 0.000
Bi 2.706 0.000 0.000
Bi 0.000 0.000 2.706
Ge 0.000 0.000 0.000

4
Lattice="-2.600 1.292 1.154 -2.795 -1.180 -0.747 -1.342 -5.904 7.812" Properties=species:S:1:pos:R:3 comment="Ho2CoW GGA-PBE optimized geometry" crystal_system=trigonal ef_mev_per_atom=811 n_ef_per_ev_fu=5.10 pbc="T T T"
W 0.000 0.000 0.000
Co -3.369 -2.896 4.110
Ho -1.476 -4.155 5.552
Ho -5.261 -1.637 2.668

12
Lattice="-4.988 0.656 -0.891 -3.308 -3.728 1.126 -3.674 1.987 7.380" Properties=species:S:1:pos:R:3 comment="Pu3Zn2Ni7 GGA-PBE optimized geometry" crystal_system=trigonal ef_mev_per_atom=-249 n_ef_per_ev_fu=31.66 pbc="T T T"
Zn -2.766 -1.022 0.082
Zn -9.204 -0.062 7.533
Ni -7.597 -0.304 5.668
Ni -6.030 -2.648 2.511
Ni -5.098 -0.633 6.114
Ni -5.985 -0.542 3.807
Ni -5.940 1.564 5.104
Ni -6.872 -0.452 1.500
Ni -4.373 -0.780 1.947
Pu 0.000 0.000 0.000
Pu -3.291 0.718 4.302
Pu -8.679 -1.803 3.313

20
Lattice="13.013 0.000 0.724 5.210 6.927 -2.400 -5.210 6.927 2.400" Properties=species:S:1:pos:R:3 comment="Y3MgN GGA-PBE optimized geometry" de_polymorph_ev_per_atom=0.122 crystal_system=monoclinic formation_energy_uncorrected_ev_per_atom=-0.60 n_ef_per_ev_fu=5.95 pbc="T T T"
Y 1.447 2.572 -0.137
Y 11.609 4.379 0.814
Y 7.953 4.355 0.225
Y 11.566 11.282 0.861
Y 7.925 7.829 0.258
Y 1.404 9.475 -0.089
Y 1.419 12.952 -0.104
Y 5.088 6.025 0.466
Y 5.059 9.499 0.499
Y 5.102 2.548 0.452
Y 7.910 11.306 0.273
Y 11.594 0.902 0.829
Mg 4.941 12.962 0.509
Mg 11.448 7.819 0.871
Mg 1.565 6.035 -0.147
Mg 8.071 0.892 0.215
N 5.858 4.297 -1.019
N 7.155 6.094 1.743
N 5.858 7.760 -1.019
N 7.155 9.557 1.743

3
Lattice="4.841 0.000 0.000 2.421 4.192 0.000 2.421 1.397 3.953" Properties=species:S:1:pos:R:3 comment="YAuCl GGA-PBE optimized geometry" de_polymorph_ev_per_atom=0.501 crystal_system=cubic formation_energy_uncorrected_ev_per_atom=-0.59 n_ef_per_ev_fu=1.69 pbc="T T T"
Au 7.262 4.192 2.965
Y 4.841 2.795 1.976
Cl 0.000 0.000 0.000

8
Lattice="-6.336 -0.447 -1.921 0.733 -3.022 5.862 -0.028 6.085 2.039" Properties=species:S:1:pos:R:3 comment="KNbCl6 GGA-PBE optimized geometry" de_polymorph_ev_per_atom=0.011 crystal_system=monoclinic formation_energy_uncorrected_ev_per_atom=-1.44 n_ef_per_ev_fu=0.00 pbc="T T T"
Cl -0.955 -0.179 3.154
Cl -4.276 -0.413 3.747
Cl -4.676 2.795 2.827
Cl -1.356 3.029 2.234
Cl -2.474 1.992 5.252
Cl -3.158 0.624 0.729
Nb -2.816 1.308 2.990
K 0.000 0.000 0.000

8
Lattice="-6.243 -2.376 -3.880 0.381 -4.516 2.153 -1.428 1.972 4.388" Properties=species:S:1:pos:R:3 comment="Si2BI GGA-PBE optimized geometry" de_polymorph_ev_per_atom=0.054 crystal_system=monoclinic formation_energy_uncorrected_ev_per_atom=0.47 n_ef_per_ev_fu=2.17 pbc="T T T"
Si -2.559 -0.821 -0.483
Si -5.061 -0.191 1.282
Si -3.083 -2.094 2.788
Si -4.156 -3.435 0.164
B -2.810 -4.882 -0.179
B -3.714 -1.638 0.939
I 0.026 -0.307 0.146
I -0.498 -1.579 3.417

17
Lattice="8.964 0.000 0.000 0.000 10.820 -6.247 0.000 0.000 12.494" Properties=species:S:1:pos:R:3 comment="CsRb10Na6 GGA-PBE optimized geometry" crystal_system=trigonal ef_mev_per_atom=37 n_ef_per_ev_fu=11.31 pbc="T T T"
Rb 1.627 3.250 1.877
Rb 4.482 3.607 6.247
Rb 7.338 3.250 -1.877
Rb 0.000 7.213 0.000
Rb 7.338 0.000 3.753
Rb 1.627 7.569 -4.370
Rb 0.000 3.607 6.247
Rb 7.338 7.569 4.370
Rb 4.482 7.213 0.000
Rb 1.627 0.000 8.740
Na 6.056 3.966 2.290
Na 2.908 3.966 -2.290
Na 2.908 6.854 3.957
Na 6.056 0.000 7.914
Na 6.056 6.854 -3.957
Na 2.908 0.000 4.579
Cs 4.482 0.000 0.000

5
Lattice="4.523 0.000 0.000 0.000 4.523 0.000 0.000 0.000 4.548" Properties=species:S:1:pos:R:3 comment="CrBAsBr2 GGA-PBE optimized geometry" de_polymorph_ev_per_atom=0.387 crystal_system=tetragonal formation_energy_uncorrected_ev_per_atom=1.35 n_ef_per_ev_fu=7.20 pbc="T T T"
Cr 2.261 2.261 2.274
Br 2.261 0.000 0.000
Br 0.000 2.261 0.000
As 0.000 0.000 2.274
B 0.000 0.000 0.000

16
Lattice="-3.850 -3.029 -3.792 -0.843 -3.785 4.831 -3.179 7.685 1.782" Properties=species:S:1:pos:R:3 comment="PaCdAsO5 GGA-PBE optimized geometry" crystal_system=monoclinic formation_energy_uncorrected_ev_per_atom=-2.12 n_ef_per_ev_fu=0.00 pbc="T T T"
Cd -2.595 -1.623 2.531
Cd -5.277 2.494 0.291
O -4.608 -1.117 -3.241
O -3.504 2.842 1.783
O -3.265 0.044 3.766
O -5.765 1.823 2.483
O -4.368 -1.971 1.038
O -2.107 -0.952 0.339
O -3.296 -3.391 -1.771
O -4.607 0.827 -0.945
O -3.264 1.988 6.063
O -4.576 4.262 4.593
Pa -1.590 3.842 0.891
Pa 0.000 0.000 0.000
As -3.641 -1.360 -0.469
As -4.231 2.231 3.290

4
Lattice="5.465 0.039 -0.159 4.571 2.995 -0.159 0.516 0.156 6.648" Properties=species:S:1:pos:R:3 comment="Ba2FeW GGA-PBE optimized geometry" de_polymorph_ev_per_atom=1.040 crystal_system=monoclinic ef_mev_per_atom=1611 n_ef_per_ev_fu=5.31 pbc="T T T"
W 2.638 0.798 1.583
Fe 7.914 2.393 4.748
Ba 10.541 3.187 6.309
Ba 5.287 1.599 3.187

4
Lattice="-1.785 -1.407 -0.975 1.135 0.080 -2.195 4.345 -6.893 1.996" Properties=species:S:1:pos:R:3 comment="Li2BeRu GGA-PBE optimized geometry" crystal_system=tetragonal ef_mev_per_atom=288 n_ef_per_ev_fu=1.70 pbc="T T T"
Li 2.200 -3.491 1.011
Li 4.317 -6.849 1.983
Be 2.934 -5.833 -0.088
Ru 0.762 -2.387 -1.086

6
Lattice="5.323 0.001 0.000 2.086 4.897 0.000 -3.704 -2.449 2.935" Properties=species:S:1:pos:R:3 comment="Ti2N GGA-PBE optimized geometry" crystal_system=tetragonal formation_energy_uncorrected_ev_per_atom=-1.30 n_ef_per_ev_fu=1.27 pbc="T T T"
N 3.704 2.449 0.000
N 1.043 2.449 1.468
Ti -0.671 1.316 1.468
Ti 5.418 3.582 0.000
Ti 2.756 3.582 1.468
Ti 1.991 1.316 0.000

5
Lattice="5.261 0.000 0.000 0.000 5.261 0.000 0.000 0.000 5.261" Properties=species:S:1:pos:R:3 comment="Ho4Mn GGA-PBE optimized geometry" de_polymorph_ev_per_atom=0.000 crystal_system=cubic ef_mev_per_atom=240 n_ef_per_ev_fu=7.87 pbc="T T T"
Mn 2.631 2.631 2.631
Ho 0.000 2.631 2.631
Ho 2.631 0.000 2.631
Ho 0.000 0.000 0.000
Ho 2.631 2.631 0.000

12
Lattice="4.256 0.000 0.000 -2.128 8.075 0.000 0.000 0.000 10.763" Properties=species:S:1:pos:R:3 comment="CsPuAuSe3 GGA-PBE optimized geometry" crystal_system=orthorhombic formation_energy_uncorrected_ev_per_atom=-1.07 n_ef_per_ev_fu=9.07 pbc="T T T"
Se 2.128 1.891 4.968
Se 0.000 6.184 5.795
Se 0.000 0.957 8.072
Se 2.128 1.891 0.413
Se 0.000 6.184 10.350
Se 2.128 7.118 2.691
Pu 0.000 0.000 0.000
Pu 0.000 0.000 5.382
Au 2.128 0.708 2.691
Au 0.000 7.366 8.072
Cs 0.000 4.087 2.691
Cs 2.128 3.988 8.072

5
Lattice="-2.955 -2.041 3.972 3.155 -4.324 0.125 3.160 2.409 3.589" Properties=species:S:1:pos:R:3 comment="MgTcBi3 GGA-PBE optimized geometry" de_polymorph_ev_per_atom=0.000 crystal_system=cubic ef_mev_per_atom=509 n_ef_per_ev_fu=1.51 pbc="T T T"
Tc 0.000 0.000 0.000
Mg 1.680 -1.978 3.843
Bi 1.578 -2.162 0.062
Bi -1.477 -1.021 1.986
Bi 1.580 1.205 1.794